Record 1
The following is a DFT calculation (PBE) of a relaxed structure of CsSr2LiCa.

Properties
**Raw total energy**: -1.437 eV/atom
**Energy relative to the elements**: 0.190 eV per atom

Lattice parameters (Å, degrees): 6.5908 6.5908 6.3980 90.00 90.00 90.00
Last column: nearest neighbours and their distance in Å.
Positions (direct):
Sr: 0.5000 0.0000 0.0000  2 Li 3.30
Sr: 0.0000 0.5000 0.0000  2 Li 3.30
Cs: 0.5000 0.5000 0.5000  8 Sr 4.59, 4 Ca 4.66
Li: 0.0000 0.0000 0.0000  2 Ca 3.20, 4 Sr 3.30
Ca: 0.0000 0.0000 0.5000  2 Li 3.20


Record 2
The following is a DFT calculation (PBE) of a relaxed structure of CsSrLi2Ca.

Properties
**Raw total energy**: -1.196 eV/atom
**Energy relative to the elements**: 0.477 eV per atom

Lattice parameters (Å, degrees): 6.4807 7.1406 6.4807 90.00 90.00 90.00
Last column: nearest neighbours and their distance in Å.
Positions (direct):
Ca: 0.0000 0.0000 0.0000  4 Li 3.24, 2 Sr 3.57
Li: 0.0000 0.0000 0.5000  2 Ca 3.24
Li: 0.5000 0.0000 0.0000  2 Ca 3.24
Sr: 0.0000 0.5000 0.0000  2 Ca 3.57
Cs: 0.5000 0.5000 0.5000  4 Sr 4.58, 8 Li 4.82


Record 3
The following is a DFT calculation (PBE) of a relaxed structure of CsLi2CaTl.

Properties
**Raw total energy**: -1.512 eV/atom
**Energy relative to the elements**: 0.297 eV per atom

Lattice parameters (Å, degrees): 5.7307 6.6188 5.7307 90.00 90.00 90.00
Last column: nearest neighbours and their distance in Å.
Positions (direct):
Tl: 0.0000 0.0000 0.0000  4 Li 2.87
Li: 0.5000 0.0000 0.0000  2 Tl 2.87
Li: 0.0000 0.0000 0.5000  2 Tl 2.87
Cs: 0.0000 0.5000 0.0000  2 Tl 3.31
Ca: 0.5000 0.5000 0.5000  4 Cs 4.05, 8 Li 4.38


Record 4
The following is a DFT calculation (PBE) of a relaxed structure of CsLiCa2Y.

Properties
**Raw total energy**: -1.517 eV/atom
**Energy relative to the elements**: 1.130 eV per atom

Lattice parameters (Å, degrees): 6.0418 5.7288 6.0418 90.00 90.00 90.00
Last column: nearest neighbours and their distance in Å.
Positions (direct):
Cs: 0.0000 0.0000 0.0000  2 Y 2.86, 4 Ca 3.02
Li: 0.5000 0.5000 0.5000  8 Ca 4.16, 4 Y 4.27
Ca: 0.0000 0.0000 0.5000  2 Cs 3.02
Ca: 0.5000 0.0000 0.0000  2 Cs 3.02
Y: 0.0000 0.5000 0.0000  2 Cs 2.86


Record 5
The following is a DFT calculation (PBE) of a relaxed structure of CsCaMg4.

Properties
**Raw total energy**: -1.419 eV/atom
**Energy relative to the elements**: 0.120 eV per atom

Lattice parameters (Å, degrees): 6.5327 6.5327 6.5327 60.00 60.00 60.00
Last column: nearest neighbours and their distance in Å.
Positions (direct):
Mg: 0.6271 0.6271 0.6271  6 Mg 3.21-3.32
Mg: 0.1187 0.6271 0.6271  6 Mg 3.21-3.32
Mg: 0.6271 0.1187 0.6271  6 Mg 3.21-3.32
Mg: 0.6271 0.6271 0.1187  6 Mg 3.21-3.32
Cs: 0.2500 0.2500 0.2500  12 Mg 3.84, 4 Ca 4.00
Ca: 0.0000 0.0000 0.0000  12 Mg 3.82, 4 Cs 4.00


Record 6
The following is a DFT calculation (PBE) of a relaxed structure of CsCaMg3.

Properties
**Raw total energy**: -0.967 eV/atom
**E above lowest polymorph**: 0.00 eV per formula unit
**Energy relative to the elements**: 0.561 eV per atom

Lattice parameters (Å, degrees): 6.3999 6.3999 6.3999 90.00 90.00 90.00
Last column: nearest neighbours and their distance in Å.
Positions (direct):
Mg: 0.5000 0.0000 0.0000  2 Ca 3.20
Mg: 0.0000 0.0000 0.5000  2 Ca 3.20
Mg: 0.0000 0.5000 0.0000  2 Ca 3.20
Cs: 0.5000 0.5000 0.5000  12 Mg 4.53
Ca: 0.0000 0.0000 0.0000  6 Mg 3.20


Record 7
The following is a DFT calculation (PBE) of a relaxed structure of CsCaMg2.

Properties
**Raw total energy**: -1.075 eV/atom
**E above lowest polymorph**: 0.66 eV per formula unit
**Energy relative to the elements**: 0.436 eV per atom

Lattice parameters (Å, degrees): 9.7816 9.7816 7.9031 51.77 51.77 90.00
Last column: nearest neighbours and their distance in Å.
Positions (direct):
Mg: 0.8750 0.8404 0.7500  2 Ca 3.37
Mg: 0.5904 0.1250 0.2500  2 Ca 3.37
Mg: 0.1596 0.6250 0.2500  2 Ca 3.37
Mg: 0.3750 0.4096 0.7500  2 Ca 3.37
Cs: 0.7500 0.2500 0.5000  2 Ca 3.82, 4 Mg 3.83
Cs: 0.0000 0.0000 0.0000  2 Ca 3.82, 4 Mg 3.83
Ca: 0.2500 0.7500 0.5000  4 Mg 3.37
Ca: 0.5000 0.5000 0.0000  4 Mg 3.37


Record 8
The following is a DFT calculation (PBE) of a relaxed structure of CsCaMg2.

Properties
**Raw total energy**: -1.241 eV/atom
**E above lowest polymorph**: 0.00 eV per formula unit
**Energy relative to the elements**: 0.270 eV per atom

Lattice parameters (Å, degrees): 6.1192 6.1192 6.1192 60.00 60.00 60.00
Last column: nearest neighbours and their distance in Å.
Positions (direct):
Mg: 0.2500 0.2500 0.2500  4 Cs 3.75, 4 Ca 3.75
Mg: 0.7500 0.7500 0.7500  4 Cs 3.75, 4 Ca 3.75
Ca: 0.0000 0.0000 0.0000  8 Mg 3.75
Cs: 0.5000 0.5000 0.5000  8 Mg 3.75


Look up the energy relative to the elements of the second one.
0.477 eV per atom


Which value of energy relative to the elements does entry 4 give?
1.130 eV per atom